[1]
K2NbZnO4: optimized geometry, PBE.

Structure (POSCAR):
```
K2NbZnO4
1.0
-2.8910 2.8910 4.5780
2.8910 -2.8910 4.5780
2.8910 2.8910 -4.5780
K Nb Zn O
2 1 1 4
direct
0.0000 0.0000 0.0000 K
0.7500 0.2500 0.5000 K
0.2500 0.7500 0.5000 Nb
0.5000 0.5000 0.0000 Zn
0.2287 0.6412 0.1300 O
0.3588 0.4888 0.5875 O
0.5112 0.0987 0.8700 O
0.9013 0.7713 0.4125 O
```

## Properties
- formation energy (no corrections) (meV per atom) = -1814
- SG = No. 82

***

[2]
Ca2AcHoAu4: optimized geometry, PBE.

Structure (POSCAR):
```
Ca2AcHoAu4
1.0
2.5821 1.4908 8.7678
-2.5821 1.4908 8.7678
0.0000 -2.9816 8.7678
Ca Ac Ho Au
2 1 1 4
direct
0.2452 0.2452 0.2452 Ca
0.7548 0.7548 0.7548 Ca
0.0000 0.0000 0.0000 Ac
0.5000 0.5000 0.5000 Ho
0.1283 0.1283 0.1283 Au
0.3863 0.3863 0.3863 Au
0.6137 0.6137 0.6137 Au
0.8717 0.8717 0.8717 Au
```

## Properties
- formation enthalpy at 0 K (eV per atom) = -0.803
- SG = No. 166

***

[3]
BeAlNiRu: optimized geometry, PBE.

Structure (POSCAR):
```
BeAlNiRu
1.0
0.0000 2.8429 2.8429
2.8429 0.0000 2.8429
2.8429 2.8429 0.0000
Be Al Ni Ru
1 1 1 1
direct
0.0000 0.0000 0.0000 Be
0.5000 0.5000 0.5000 Al
0.7500 0.7500 0.7500 Ni
0.2500 0.2500 0.2500 Ru
```

## Properties
- formation enthalpy at 0 K (eV per atom) = -0.508
- SG = No. 216

***

[4]
NaMg2Cu2P2: optimized geometry, PBE.

Structure (POSCAR):
```
NaMg2Cu2P2
1.0
2.0818 1.2019 8.1518
-2.0818 1.2019 8.1518
0.0000 -2.4038 8.1518
Na Mg Cu P
1 2 2 2
direct
0.0000 0.0000 0.0000 Na
0.1361 0.1361 0.1361 Mg
0.8639 0.8639 0.8639 Mg
0.4337 0.4337 0.4337 Cu
0.5663 0.5663 0.5663 Cu
0.2489 0.2489 0.2489 P
0.7511 0.7511 0.7511 P
```

## Properties
- formation enthalpy at 0 K (eV per atom) = -0.270
- SG = No. 166

***

[5]
Zr6Sn2H: optimized geometry, PBE.

Structure (POSCAR):
```
Zr6Sn2H
1.0
-3.1459 3.1459 4.5542
3.1459 -3.1459 4.5542
3.1459 3.1459 -4.5542
Zr Sn H
6 2 1
direct
0.2483 0.2483 0.4965 Zr
0.2483 0.7517 0.0000 Zr
0.2490 0.2490 0.0000 Zr
0.7510 0.7510 0.0000 Zr
0.7517 0.2483 0.0000 Zr
0.7517 0.7517 0.5035 Zr
0.2500 0.7500 0.5000 Sn
0.7500 0.2500 0.5000 Sn
0.5000 0.5000 0.0000 H
```

## Properties
- SG = No. 139
- offset from the most stable computed form (meV/atom) = 0

***

[6]
Tb5Fe2Br2: optimized geometry, PBE.

Structure (POSCAR):
```
Tb5Fe2Br2
1.0
8.1096 -3.7833 0.0000
8.1096 3.7833 0.0000
0.0000 0.0000 7.5480
Tb Fe Br
10 4 4
direct
0.0000 0.0000 0.0000 Tb
0.0525 0.7251 0.6624 Tb
0.2251 0.5525 0.1624 Tb
0.2749 0.9475 0.6624 Tb
0.4475 0.7749 0.1624 Tb
0.5000 0.5000 0.5000 Tb
0.5525 0.2251 0.8376 Tb
0.7251 0.0525 0.3376 Tb
0.7749 0.4475 0.8376 Tb
0.9475 0.2749 0.3376 Tb
0.1204 0.8796 0.3813 Fe
0.3796 0.6204 0.8813 Fe
0.6204 0.3796 0.1187 Fe
0.8796 0.1204 0.6187 Fe
0.2195 0.2195 0.0000 Br
0.2805 0.2805 0.5000 Br
0.7195 0.7195 0.5000 Br
0.7805 0.7805 0.0000 Br
```

## Properties
- formation energy (no corrections) (meV per atom) = -466
- SG = No. 64

***

[7]
KCr2Te: optimized geometry, PBE.

Structure (POSCAR):
```
KCr2Te
1.0
-1.8436 2.8361 5.5338
1.8436 -2.8361 5.5338
1.8436 2.8361 -5.5338
K Cr Te
1 2 1
direct
0.0000 0.0000 0.0000 K
0.3037 0.8037 0.5000 Cr
0.6963 0.1963 0.5000 Cr
0.5000 0.5000 0.0000 Te
```

## Properties
- formation energy (no corrections) (meV per atom) = 656
- SG = No. 71

***

[8]
ZrSb4Os: optimized geometry, PBE.

Structure (POSCAR):
```
ZrSb4Os
1.0
0.0000 4.2033 4.2033
4.2033 0.0000 4.2033
4.2033 4.2033 0.0000
Zr Sb Os
1 4 1
direct
0.0000 0.0000 0.0000 Zr
0.3753 0.3753 0.3753 Sb
0.3753 0.3753 0.8742 Sb
0.3753 0.8742 0.3753 Sb
0.8742 0.3753 0.3753 Sb
0.7500 0.7500 0.7500 Os
```

## Properties
- formation energy (no corrections) (meV per atom) = 1011
- SG = No. 216